The following is a PBE calculation of a geometry-optimized YPb2 structure, from Alexandria via LeMat-Bulk.

Cell: 5.4008 5.4008 3.5125 Å, 90.00 90.00 90.00°
Element x y z (fractional)
Pb (0.0000, 0.5000, 0.5000)
Pb (0.5000, 0.0000, 0.5000)
Y (0.0000, 0.0000, 0.0000)

Values from the calculation:
**D(E_F)**: 0.77 states/eV per atom
**Formation enthalpy at 0 K**: -0.208 eV per atom